Here is a relaxed YAuBrF2 crystal from the Alexandria database. Energies are from GGA-PBE.

abc: 4.3079 6.0207 4.3079
angles: 90.00 90.00 90.00
Positions (direct):
F 0.0000 0.0000 0.5000
F 0.5000 0.0000 0.0000
Y 0.0000 0.0000 0.0000
Br 0.5000 0.5000 0.5000
Au 0.0000 0.5000 0.0000

Total magnetization = 0.00 μB per formula unit
Total DFT energy (no corrections) = -26.17 eV per cell
SG = No. 123
Crystal system = tetragonal
ΔE_f (raw) = -11.017 eV/f.u.